Entry 1:
DFT (PBE) results for a relaxed structure of HfZrPaNb.

Summary:
D(E_F) in states/eV per atom: 1.5660
Total magnetization in μB/f.u.: 0.0
Energy of formation in meV/atom: 79
Polymorph energy (0 for the lowest one) in meV per atom: 12

```
data_HfZrPaNb
_space_group_name_H-M_alt 'P 1'
_space_group_IT_number 1
_cell_length_a 3.485
_cell_length_b 3.485
_cell_length_c 7.260
_cell_angle_alpha 90.00
_cell_angle_beta 90.00
_cell_angle_gamma 90.00
loop_
_space_group_symop_operation_xyz
'x,y,z'
loop_
_atom_site_label
_atom_site_fract_x
_atom_site_fract_y
_atom_site_fract_z
Hf1 0.000 0.000 0.000
Zr1 0.500 0.500 0.275
Pa1 0.000 0.000 0.537
Nb1 0.500 0.500 0.752
```

---

Entry 2:
DFT (PBE) results for a relaxed structure of GaHgB.

Summary:
D(E_F) in states/eV per atom: 0.2017
Total magnetization in μB/f.u.: 0.0
Energy of formation in meV/atom: 212

```
data_GaHgB
_space_group_name_H-M_alt 'P 1'
_space_group_IT_number 1
_cell_length_a 3.086
_cell_length_b 3.785
_cell_length_c 10.224
_cell_angle_alpha 87.03
_cell_angle_beta 83.65
_cell_angle_gamma 89.90
loop_
_space_group_symop_operation_xyz
'x,y,z'
loop_
_atom_site_label
_atom_site_fract_x
_atom_site_fract_y
_atom_site_fract_z
Ga1 0.000 0.000 0.000
Ga2 0.412 0.798 0.240
Hg1 0.124 0.141 0.738
Hg2 0.284 0.655 0.502
B1 0.453 0.307 0.128
B2 0.959 0.491 0.112
```

---

Entry 3:
DFT (PBE) results for a relaxed structure of BeTl2Pt.

Summary:
D(E_F) in states/eV per atom: 0.1806
Total magnetization in μB/f.u.: 0.0
Energy of formation in meV/atom: 454
Polymorph energy (0 for the lowest one) in meV per atom: 544

```
data_BeTl2Pt
_space_group_name_H-M_alt 'P 1'
_space_group_IT_number 1
_cell_length_a 7.782
_cell_length_b 7.782
_cell_length_c 7.782
_cell_angle_alpha 26.36
_cell_angle_beta 26.36
_cell_angle_gamma 26.36
loop_
_space_group_symop_operation_xyz
'x,y,z'
loop_
_atom_site_label
_atom_site_fract_x
_atom_site_fract_y
_atom_site_fract_z
Be1 0.000 0.000 0.000
Tl1 0.253 0.253 0.253
Tl2 0.747 0.747 0.747
Pt1 0.500 0.500 0.500
```

---

Entry 4:
DFT (PBE) results for a relaxed structure of LiGaSi3.

Summary:
D(E_F) in states/eV per atom: 0.2812
E_form (uncorrected) in eV/atom: 0.771
Total magnetization in μB/f.u.: 0.0
Polymorph energy (0 for the lowest one) in meV per atom: 0

```
data_LiGaSi3
_space_group_name_H-M_alt 'P 1'
_space_group_IT_number 1
_cell_length_a 4.457
_cell_length_b 4.457
_cell_length_c 4.457
_cell_angle_alpha 90.00
_cell_angle_beta 90.00
_cell_angle_gamma 90.00
loop_
_space_group_symop_operation_xyz
'x,y,z'
loop_
_atom_site_label
_atom_site_fract_x
_atom_site_fract_y
_atom_site_fract_z
Li1 0.000 0.000 0.000
Ga1 0.500 0.500 0.500
Si1 0.000 0.000 0.500
Si2 0.000 0.500 0.000
Si3 0.500 0.000 0.000
```

---

Entry 5:
DFT (PBE) results for a relaxed structure of Ho8TlIn2.

Summary:
D(E_F) in states/eV per atom: 1.2228
Total magnetization in μB/f.u.: 0.0
Energy of formation in meV/atom: -169
Polymorph energy (0 for the lowest one) in meV per atom: 68

```
data_Ho8TlIn2
_space_group_name_H-M_alt 'P 1'
_space_group_IT_number 1
_cell_length_a 8.868
_cell_length_b 8.868
_cell_length_c 8.868
_cell_angle_alpha 146.73
_cell_angle_beta 122.68
_cell_angle_gamma 67.92
loop_
_space_group_symop_operation_xyz
'x,y,z'
loop_
_atom_site_label
_atom_site_fract_x
_atom_site_fract_y
_atom_site_fract_z
Ho1 0.126 0.342 0.784
Ho2 0.143 0.143 0.000
Ho3 0.307 0.000 0.307
Ho4 0.442 0.658 0.784
Ho5 0.558 0.342 0.216
Ho6 0.693 0.000 0.693
Ho7 0.857 0.857 0.000
Ho8 0.874 0.658 0.216
Tl1 0.000 0.500 0.500
In1 0.305 0.805 0.500
In2 0.695 0.195 0.500
```

---

Entry 6:
DFT (PBE) results for a relaxed structure of SiAgH2.

Summary:
D(E_F) in states/eV per atom: 0.2094
Total magnetization in μB/f.u.: 0.0
Polymorph energy (0 for the lowest one) in meV per atom: 352

```
data_SiAgH2
_space_group_name_H-M_alt 'P 1'
_space_group_IT_number 1
_cell_length_a 3.925
_cell_length_b 3.925
_cell_length_c 3.925
_cell_angle_alpha 60.00
_cell_angle_beta 60.00
_cell_angle_gamma 60.00
loop_
_space_group_symop_operation_xyz
'x,y,z'
loop_
_atom_site_label
_atom_site_fract_x
_atom_site_fract_y
_atom_site_fract_z
Si1 0.000 0.000 0.000
Ag1 0.500 0.500 0.500
H1 0.250 0.250 0.250
H2 0.750 0.750 0.750
```

---

Entry 7:
DFT (PBE) results for a relaxed structure of InSn2Pd8.

Summary:
D(E_F) in states/eV per atom: 0.4454
Total magnetization in μB/f.u.: 0.0
Energy of formation in meV/atom: -452
Polymorph energy (0 for the lowest one) in meV per atom: 23

```
data_InSn2Pd8
_space_group_name_H-M_alt 'P 1'
_space_group_IT_number 1
_cell_length_a 7.574
_cell_length_b 7.574
_cell_length_c 6.464
_cell_angle_alpha 107.82
_cell_angle_beta 107.82
_cell_angle_gamma 31.85
loop_
_space_group_symop_operation_xyz
'x,y,z'
loop_
_atom_site_label
_atom_site_fract_x
_atom_site_fract_y
_atom_site_fract_z
In1 0.000 0.000 0.000
Sn1 0.290 0.290 0.335
Sn2 0.710 0.710 0.665
Pd1 0.093 0.093 0.460
Pd2 0.175 0.175 0.922
Pd3 0.347 0.347 0.782
Pd4 0.464 0.464 0.266
Pd5 0.536 0.536 0.734
Pd6 0.653 0.653 0.218
Pd7 0.825 0.825 0.078
Pd8 0.907 0.907 0.540
```

---

Entry 8:
DFT (PBE) results for a relaxed structure of Er6In3Pd.

Summary:
D(E_F) in states/eV per atom: 0.9488
Total magnetization in μB/f.u.: 0.0
Energy of formation in meV/atom: -433

```
data_Er6In3Pd
_space_group_name_H-M_alt 'P 1'
_space_group_IT_number 1
_cell_length_a 9.129
_cell_length_b 5.244
_cell_length_c 11.471
_cell_angle_alpha 90.00
_cell_angle_beta 108.63
_cell_angle_gamma 90.00
loop_
_space_group_symop_operation_xyz
'x,y,z'
loop_
_atom_site_label
_atom_site_fract_x
_atom_site_fract_y
_atom_site_fract_z
Er1 0.040 0.250 0.417
Er2 0.180 0.750 0.168
Er3 0.272 0.250 0.004
Er4 0.351 0.750 0.823
Er5 0.365 0.250 0.337
Er6 0.402 0.250 0.638
Er7 0.598 0.750 0.362
Er8 0.635 0.750 0.663
Er9 0.649 0.250 0.177
Er10 0.728 0.750 0.996
Er11 0.820 0.250 0.832
Er12 0.960 0.750 0.583
In1 0.019 0.750 0.878
In2 0.108 0.250 0.718
In3 0.277 0.750 0.474
In4 0.723 0.250 0.526
In5 0.892 0.750 0.282
In6 0.981 0.250 0.122
Pd1 0.459 0.750 0.100
Pd2 0.541 0.250 0.900
```

---

Entry 9:
DFT (PBE) results for a relaxed structure of Sc3Hg5O12.

Summary:
D(E_F) in states/eV per atom: 0.3598
E_form (uncorrected) in eV/atom: -1.057
Total magnetization in μB/f.u.: 0.8

```
data_Sc3Hg5O12
_space_group_name_H-M_alt 'P 1'
_space_group_IT_number 1
_cell_length_a 11.274
_cell_length_b 11.274
_cell_length_c 11.274
_cell_angle_alpha 109.47
_cell_angle_beta 109.47
_cell_angle_gamma 109.47
loop_
_space_group_symop_operation_xyz
'x,y,z'
loop_
_atom_site_label
_atom_site_fract_x
_atom_site_fract_y
_atom_site_fract_z
Sc1 0.125 0.250 0.375
Sc2 0.125 0.375 0.750
Sc3 0.250 0.375 0.125
Sc4 0.250 0.875 0.625
Sc5 0.375 0.125 0.250
Sc6 0.375 0.750 0.125
Sc7 0.625 0.250 0.875
Sc8 0.625 0.875 0.750
Sc9 0.750 0.125 0.375
Sc10 0.750 0.625 0.875
Sc11 0.875 0.625 0.250
Sc12 0.875 0.750 0.625
Hg1 0.000 0.000 0.000
Hg2 0.000 0.000 0.500
Hg3 0.000 0.500 0.000
Hg4 0.000 0.500 0.500
Hg5 0.125 0.750 0.875
Hg6 0.125 0.875 0.250
Hg7 0.250 0.125 0.875
Hg8 0.250 0.625 0.375
Hg9 0.375 0.250 0.625
Hg10 0.375 0.625 0.750
Hg11 0.500 0.000 0.000
Hg12 0.500 0.000 0.500
Hg13 0.500 0.500 0.000
Hg14 0.500 0.500 0.500
Hg15 0.625 0.375 0.250
Hg16 0.625 0.750 0.375
Hg17 0.750 0.375 0.625
Hg18 0.750 0.875 0.125
Hg19 0.875 0.125 0.750
Hg20 0.875 0.250 0.125
O1 0.068 0.232 0.149
O2 0.068 0.336 0.919
O3 0.081 0.649 0.417
O4 0.081 0.932 0.664
O5 0.083 0.732 0.664
O6 0.083 0.851 0.419
O7 0.149 0.068 0.232
O8 0.149 0.581 0.917
O9 0.164 0.232 0.583
O10 0.164 0.432 0.581
O11 0.232 0.149 0.068
O12 0.232 0.583 0.164
O13 0.268 0.336 0.917
O14 0.268 0.432 0.351
O15 0.336 0.917 0.268
O16 0.336 0.919 0.068
O17 0.351 0.268 0.432
O18 0.351 0.583 0.919
O19 0.417 0.081 0.649
O20 0.417 0.836 0.768
O21 0.419 0.083 0.851
O22 0.419 0.836 0.568
O23 0.432 0.351 0.268
O24 0.432 0.581 0.164
O25 0.568 0.419 0.836
O26 0.568 0.649 0.732
O27 0.581 0.164 0.432
O28 0.581 0.917 0.149
O29 0.583 0.164 0.232
O30 0.583 0.919 0.351
O31 0.649 0.417 0.081
O32 0.649 0.732 0.568
O33 0.664 0.081 0.932
O34 0.664 0.083 0.732
O35 0.732 0.568 0.649
O36 0.732 0.664 0.083
O37 0.768 0.417 0.836
O38 0.768 0.851 0.932
O39 0.836 0.568 0.419
O40 0.836 0.768 0.417
O41 0.851 0.419 0.083
O42 0.851 0.932 0.768
O43 0.917 0.149 0.581
O44 0.917 0.268 0.336
O45 0.919 0.068 0.336
O46 0.919 0.351 0.583
O47 0.932 0.664 0.081
O48 0.932 0.768 0.851
```

---

Entry 10:
DFT (PBE) results for a relaxed structure of La2Pm2DyEr.

Summary:
D(E_F) in states/eV per atom: 1.5665
Total magnetization in μB/f.u.: 0.0
Energy of formation in meV/atom: 56

```
data_La2Pm2DyEr
_space_group_name_H-M_alt 'P 1'
_space_group_IT_number 1
_cell_length_a 7.115
_cell_length_b 5.745
_cell_length_c 9.954
_cell_angle_alpha 90.00
_cell_angle_beta 90.00
_cell_angle_gamma 90.00
loop_
_space_group_symop_operation_xyz
'x,y,z'
loop_
_atom_site_label
_atom_site_fract_x
_atom_site_fract_y
_atom_site_fract_z
La1 0.000 0.000 0.000
La2 0.250 0.500 0.177
La3 0.500 0.000 0.000
La4 0.750 0.500 0.823
Pm1 0.250 0.000 0.332
Pm2 0.250 0.500 0.834
Pm3 0.750 0.000 0.668
Pm4 0.750 0.500 0.166
Dy1 0.250 0.000 0.656
Dy2 0.750 0.000 0.344
Er1 0.000 0.500 0.500
Er2 0.500 0.500 0.500
```

---

Entry 11:
DFT (PBE) results for a relaxed structure of Nd3TiTl4S8.

Summary:
D(E_F) in states/eV per atom: 0.3725
E_form (uncorrected) in eV/atom: -1.279
Total magnetization in μB/f.u.: 1.0

```
data_Nd3TiTl4S8
_space_group_name_H-M_alt 'P 1'
_space_group_IT_number 1
_cell_length_a 8.847
_cell_length_b 8.847
_cell_length_c 8.847
_cell_angle_alpha 54.44
_cell_angle_beta 54.44
_cell_angle_gamma 54.44
loop_
_space_group_symop_operation_xyz
'x,y,z'
loop_
_atom_site_label
_atom_site_fract_x
_atom_site_fract_y
_atom_site_fract_z
Nd1 0.000 0.500 0.500
Nd2 0.500 0.000 0.500
Nd3 0.500 0.500 0.000
Ti1 0.000 0.000 0.000
Tl1 0.000 0.000 0.500
Tl2 0.000 0.500 0.000
Tl3 0.500 0.000 0.000
Tl4 0.500 0.500 0.500
S1 0.218 0.218 0.760
S2 0.218 0.760 0.218
S3 0.240 0.782 0.782
S4 0.263 0.263 0.263
S5 0.737 0.737 0.737
S6 0.760 0.218 0.218
S7 0.782 0.240 0.782
S8 0.782 0.782 0.240
```

---

Entry 12:
DFT (PBE) results for a relaxed structure of InHg5.

Summary:
D(E_F) in states/eV per atom: 0.2648
Total magnetization in μB/f.u.: 0.0
Energy of formation in meV/atom: 16
Polymorph energy (0 for the lowest one) in meV per atom: 19

```
data_InHg5
_space_group_name_H-M_alt 'P 1'
_space_group_IT_number 1
_cell_length_a 3.269
_cell_length_b 3.269
_cell_length_c 15.103
_cell_angle_alpha 90.00
_cell_angle_beta 90.00
_cell_angle_gamma 90.00
loop_
_space_group_symop_operation_xyz
'x,y,z'
loop_
_atom_site_label
_atom_site_fract_x
_atom_site_fract_y
_atom_site_fract_z
In1 0.000 0.000 0.000
Hg1 0.000 0.000 0.329
Hg2 0.000 0.000 0.671
Hg3 0.500 0.500 0.164
Hg4 0.500 0.500 0.500
Hg5 0.500 0.500 0.836
```

---

Entry 13:
DFT (PBE) results for a relaxed structure of CdRuBr2.

Summary:
D(E_F) in states/eV per atom: 0.9115
E_form (uncorrected) in eV/atom: 0.248
Total magnetization in μB/f.u.: 1.2
Polymorph energy (0 for the lowest one) in meV per atom: 280

```
data_CdRuBr2
_space_group_name_H-M_alt 'P 1'
_space_group_IT_number 1
_cell_length_a 3.298
_cell_length_b 3.298
_cell_length_c 8.439
_cell_angle_alpha 90.00
_cell_angle_beta 90.00
_cell_angle_gamma 90.00
loop_
_space_group_symop_operation_xyz
'x,y,z'
loop_
_atom_site_label
_atom_site_fract_x
_atom_site_fract_y
_atom_site_fract_z
Cd1 0.000 0.000 0.000
Ru1 0.500 0.500 0.230
Br1 0.000 0.000 0.389
Br2 0.500 0.500 0.787
```

---

Entry 14:
DFT (PBE) results for a relaxed structure of Y6Bi2N.

Summary:
D(E_F) in states/eV per atom: 1.2362
E_form (uncorrected) in eV/atom: -0.476
Total magnetization in μB/f.u.: 0.0

```
data_Y6Bi2N
_space_group_name_H-M_alt 'P 1'
_space_group_IT_number 1
_cell_length_a 6.470
_cell_length_b 6.470
_cell_length_c 13.486
_cell_angle_alpha 90.00
_cell_angle_beta 90.00
_cell_angle_gamma 90.00
loop_
_space_group_symop_operation_xyz
'x,y,z'
loop_
_atom_site_label
_atom_site_fract_x
_atom_site_fract_y
_atom_site_fract_z
Y1 0.185 0.185 0.124
Y2 0.185 0.185 0.876
Y3 0.214 0.214 0.500
Y4 0.286 0.714 0.000
Y5 0.315 0.685 0.376
Y6 0.315 0.685 0.624
Y7 0.685 0.315 0.376
Y8 0.685 0.315 0.624
Y9 0.714 0.286 0.000
Y10 0.786 0.786 0.500
Y11 0.815 0.815 0.124
Y12 0.815 0.815 0.876
Bi1 0.000 0.000 0.316
Bi2 0.000 0.000 0.684
Bi3 0.500 0.500 0.184
Bi4 0.500 0.500 0.816
N1 0.000 0.000 0.000
N2 0.500 0.500 0.500
```

---

Entry 15:
DFT (PBE) results for a relaxed structure of LaAu2Cl.

Summary:
E_form (uncorrected) in eV/atom: -1.012
Total magnetization in μB/f.u.: 0.0
Polymorph energy (0 for the lowest one) in meV per atom: 0

```
data_LaAu2Cl
_space_group_name_H-M_alt 'P 1'
_space_group_IT_number 1
_cell_length_a 7.034
_cell_length_b 7.034
_cell_length_c 7.034
_cell_angle_alpha 38.42
_cell_angle_beta 38.42
_cell_angle_gamma 38.42
loop_
_space_group_symop_operation_xyz
'x,y,z'
loop_
_atom_site_label
_atom_site_fract_x
_atom_site_fract_y
_atom_site_fract_z
La1 0.000 0.000 0.000
Au1 0.261 0.261 0.261
Au2 0.559 0.559 0.559
Cl1 0.742 0.742 0.742
```

---

Entry 16:
DFT (PBE) results for a relaxed structure of Pr2PtF.

Summary:
D(E_F) in states/eV per atom: 0.4899
E_form (uncorrected) in eV/atom: -1.839
Total magnetization in μB/f.u.: 0.0
Polymorph energy (0 for the lowest one) in meV per atom: 0

```
data_Pr2PtF
_space_group_name_H-M_alt 'P 1'
_space_group_IT_number 1
_cell_length_a 8.043
_cell_length_b 8.043
_cell_length_c 8.043
_cell_angle_alpha 31.61
_cell_angle_beta 31.61
_cell_angle_gamma 31.61
loop_
_space_group_symop_operation_xyz
'x,y,z'
loop_
_atom_site_label
_atom_site_fract_x
_atom_site_fract_y
_atom_site_fract_z
Pr1 0.101 0.101 0.101
Pr2 0.899 0.899 0.899
Pt1 0.500 0.500 0.500
F1 0.000 0.000 0.000
```

---

Entry 17:
DFT (PBE) results for a relaxed structure of CuTe3.

Summary:
D(E_F) in states/eV per atom: 0.4433
E_form (uncorrected) in eV/atom: 0.053
Total magnetization in μB/f.u.: 0.0

```
data_CuTe3
_space_group_name_H-M_alt 'P 1'
_space_group_IT_number 1
_cell_length_a 6.270
_cell_length_b 9.432
_cell_length_c 8.296
_cell_angle_alpha 90.00
_cell_angle_beta 90.00
_cell_angle_gamma 90.00
loop_
_space_group_symop_operation_xyz
'x,y,z'
loop_
_atom_site_label
_atom_site_fract_x
_atom_site_fract_y
_atom_site_fract_z
Cu1 0.137 0.250 0.071
Cu2 0.363 0.750 0.571
Cu3 0.637 0.250 0.429
Cu4 0.863 0.750 0.929
Te1 0.138 0.250 0.764
Te2 0.143 0.579 0.764
Te3 0.143 0.921 0.764
Te4 0.357 0.079 0.264
Te5 0.357 0.421 0.264
Te6 0.362 0.750 0.264
Te7 0.638 0.250 0.736
Te8 0.643 0.579 0.736
Te9 0.643 0.921 0.736
Te10 0.857 0.079 0.236
Te11 0.857 0.421 0.236
Te12 0.862 0.750 0.236
```

---

Entry 18:
DFT (PBE) results for a relaxed structure of NaP3Rh.

Summary:
D(E_F) in states/eV per atom: 0.8323
Total magnetization in μB/f.u.: 0.0
Energy of formation in meV/atom: 1724
Polymorph energy (0 for the lowest one) in meV per atom: 1343

```
data_NaP3Rh
_space_group_name_H-M_alt 'P 1'
_space_group_IT_number 1
_cell_length_a 4.649
_cell_length_b 4.649
_cell_length_c 4.649
_cell_angle_alpha 90.00
_cell_angle_beta 90.00
_cell_angle_gamma 90.00
loop_
_space_group_symop_operation_xyz
'x,y,z'
loop_
_atom_site_label
_atom_site_fract_x
_atom_site_fract_y
_atom_site_fract_z
Na1 0.000 0.000 0.000
P1 0.000 0.000 0.500
P2 0.000 0.500 0.000
P3 0.500 0.000 0.000
Rh1 0.500 0.500 0.500
```